Below is a relaxed structure of Pa2AlCo4P3, with properties calculated at the PBE level.

Values from the calculation:
- ΔE_f (meV/atom) = -931
- size of the total moment (μB per formula unit) = 1.20
- total DFT energy (no corrections) (eV/atom) = -7.67

Cell lengths 3.856, 3.856, 9.603 Å; angles 90.00, 90.00, 90.00 degrees
Space group P-4m2 (No. 115)
Unique sites:
Pa: 0.000 0.500 0.243 [2 per cell]
Al: 0.000 0.000 0.500 [1 per cell]
Co: 0.000 0.000 0.000 [1 per cell]
Co: 0.000 0.500 0.642 [2 per cell]
Co: 0.500 0.500 0.000 [1 per cell]
P: 0.000 0.500 0.873 [2 per cell]
P: 0.500 0.500 0.500 [1 per cell]

***

Below is a relaxed structure of BaTcHg2, with properties calculated at the PBE level.

Values from the calculation:
- ΔE_f (meV/atom) = 36
- size of the total moment (μB per formula unit) = 0.00
- total DFT energy (no corrections) (eV/atom) = -3.19

Cell lengths 14.064, 4.092, 8.032 Å; angles 90.00, 96.91, 90.00 degrees
Space group Cm (No. 8)
Unique sites:
Ba: 0.000 0.000 0.000 [2 per cell]
Ba: 0.224 0.500 0.738 [2 per cell]
Tc: 0.366 0.500 0.349 [2 per cell]
Tc: 0.452 0.000 0.315 [2 per cell]
Hg: 0.055 0.000 0.540 [2 per cell]
Hg: 0.158 0.500 0.292 [2 per cell]
Hg: 0.276 0.000 0.094 [2 per cell]
Hg: 0.403 0.000 0.645 [2 per cell]

***

Below is a relaxed structure of LiBe2PRh, with properties calculated at the PBE level.

Values from the calculation:
- ΔE_f (meV/atom) = 119
- size of the total moment (μB per formula unit) = 0.00
- total DFT energy (no corrections) (eV/atom) = -4.31

Cell lengths 4.267, 4.267, 4.469 Å; angles 90.00, 90.00, 90.00 degrees
Space group P4/mmm (No. 123)
Unique sites:
Li: 0.000 0.000 0.000 [1 per cell]
Be: 0.000 0.500 0.500 [2 per cell]
P: 0.500 0.500 0.000 [1 per cell]
Rh: 0.500 0.500 0.500 [1 per cell]

***

Below is a relaxed structure of MoAs2Ir, with properties calculated at the PBE level.

Values from the calculation:
- ΔE_f (meV/atom) = 318
- size of the total moment (μB per formula unit) = 0.66
- total DFT energy (no corrections) (eV/atom) = -6.93

Cell lengths 5.681, 5.681, 10.826 Å; angles 90.00, 90.00, 90.00 degrees
Space group I-42d (No. 122)
Unique sites:
Mo: 0.000 0.000 0.000 [4 per cell]
As: 0.240 0.250 0.625 [8 per cell]
Ir: 0.000 0.000 0.500 [4 per cell]

***

> Look up the total DFT energy (no corrections) of the second one.

-3.19 eV/atom